VASP calculation (PBE) on crystalline Nd7ErTl4 at its relaxed geometry.

Results
- Total DFT energy (no corrections): -4.02 eV/atom

Geometry as CIF:
```
data_Nd7ErTl4
_chemical_formula_sum 'Nd14 Er2 Tl8'
_space_group_name_H-M_alt 'C 1 2/m 1'
_space_group_IT_number 12
_cell_length_a 14.9947
_cell_length_b 5.9252
_cell_length_c 10.4557
_cell_angle_alpha 90.00
_cell_angle_beta 122.77
_cell_angle_gamma 90.00
loop_
_space_group_symop_operation_xyz
'x,y,z'
'-x,-y,-z'
'-x,y,-z'
'x,-y,z'
'x+1/2,y+1/2,z'
'-x+1/2,-y+1/2,-z'
'-x+1/2,y+1/2,-z'
'x+1/2,-y+1/2,z'
loop_
_atom_site_label
_atom_site_type_symbol
_atom_site_fract_x
_atom_site_fract_y
_atom_site_fract_z
Nd1 Nd 0.0000 0.0000 0.0000
Nd2 Nd 0.0621 0.5000 0.3942
Nd3 Nd 0.2034 0.5000 0.8834
Nd4 Nd 0.2313 0.0000 0.6726
Er1 Er 0.0000 0.5000 0.0000
Tl1 Tl 0.0547 0.0000 0.7382
Tl2 Tl 0.1863 0.0000 0.3348
```


VASP calculation (PBE) on crystalline RbSr3Al at its relaxed geometry.

Results
- Relative energy among the computed polymorphs: 0 meV per atom

Geometry as CIF:
```
data_RbSr3Al
_chemical_formula_sum 'Rb1 Sr3 Al1'
_space_group_name_H-M_alt 'P m -3 m'
_space_group_IT_number 221
_space_group_name_Hall '-P 4 2 3'
_cell_length_a 6.5152
_cell_length_b 6.5152
_cell_length_c 6.5152
_cell_angle_alpha 90.00
_cell_angle_beta 90.00
_cell_angle_gamma 90.00
loop_
_atom_site_label
_atom_site_type_symbol
_atom_site_fract_x
_atom_site_fract_y
_atom_site_fract_z
Rb1 Rb 0.0000 0.0000 0.0000
Sr1 Sr 0.0000 0.5000 0.5000
Al1 Al 0.5000 0.5000 0.5000
```


VASP calculation (PBE) on crystalline PrSmMg4 at its relaxed geometry.

Results
- Total DFT energy (no corrections): -2.75 eV/atom

Geometry as CIF:
```
data_PrSmMg4
_chemical_formula_sum 'Pr4 Sm4 Mg16'
_space_group_name_H-M_alt 'F -4 3 m'
_space_group_IT_number 216
_space_group_name_Hall 'F -4 2 3'
_cell_length_a 8.6638
_cell_length_b 8.6638
_cell_length_c 8.6638
_cell_angle_alpha 90.00
_cell_angle_beta 90.00
_cell_angle_gamma 90.00
loop_
_atom_site_label
_atom_site_type_symbol
_atom_site_fract_x
_atom_site_fract_y
_atom_site_fract_z
Pr1 Pr 0.0000 0.0000 0.0000
Sm1 Sm 0.2500 0.2500 0.2500
Mg1 Mg 0.1249 0.1249 0.6249
```